# 1
Computed, not measured: a relaxed NpCu2Ag3S6 crystal at the PBE-GGA level of DFT.

E_tot in eV per atom: -4.886
Raw formation energy in eV/f.u.: -4.2
Fermi-level density of states in states/eV per cell: 8.0
Space-group type: C2/m (12)

a b c (Å): 6.247 6.247 6.663
angles (deg): 100.65 100.65 113.92
Element x y z (fractional)
Np 0.000 0.000 0.000
Cu 0.324 0.676 0.000
Cu 0.676 0.324 0.000
Ag 0.142 0.858 0.500
Ag 0.500 0.500 0.500
Ag 0.858 0.142 0.500
S 0.035 0.390 0.248
S 0.302 0.302 0.811
S 0.390 0.035 0.248
S 0.610 0.965 0.752
S 0.698 0.698 0.189
S 0.965 0.610 0.752

# 2
Computed, not measured: a relaxed Np3CuAg4S8 crystal at the PBE-GGA level of DFT.

E_tot in eV per atom: -6.129
Raw formation energy in eV/f.u.: -10.7
Fermi-level density of states in states/eV per cell: 29.8
Space-group type: C2/m (12)

a b c (Å): 7.494 7.494 7.658
angles (deg): 115.73 115.73 63.16
Element x y z (fractional)
Np 0.000 0.000 0.000
Np 0.000 0.500 0.500
Np 0.500 0.000 0.500
Cu 0.500 0.500 0.000
Ag 0.000 0.000 0.500
Ag 0.000 0.500 0.000
Ag 0.500 0.000 0.000
Ag 0.500 0.500 0.500
S 0.229 0.229 0.724
S 0.246 0.246 0.251
S 0.266 0.721 0.770
S 0.279 0.734 0.230
S 0.721 0.266 0.770
S 0.734 0.279 0.230
S 0.754 0.754 0.749
S 0.771 0.771 0.276

# 3
Computed, not measured: a relaxed Np3CuAg4Se8 crystal at the PBE-GGA level of DFT.

E_tot in eV per atom: -5.694
Raw formation energy in eV/f.u.: -8.9
Fermi-level density of states in states/eV per cell: 31.0
Space-group type: C2/m (12)

a b c (Å): 7.818 7.818 8.014
angles (deg): 115.86 115.86 63.36
Element x y z (fractional)
Np 0.000 0.000 0.000
Np 0.000 0.500 0.500
Np 0.500 0.000 0.500
Cu 0.500 0.500 0.000
Ag 0.000 0.000 0.500
Ag 0.000 0.500 0.000
Ag 0.500 0.000 0.000
Ag 0.500 0.500 0.500
Se 0.231 0.231 0.730
Se 0.249 0.249 0.251
Se 0.271 0.723 0.772
Se 0.277 0.729 0.228
Se 0.723 0.271 0.772
Se 0.729 0.277 0.228
Se 0.751 0.751 0.749
Se 0.769 0.769 0.270

# 4
Computed, not measured: a relaxed NpCuAg2Se4 crystal at the PBE-GGA level of DFT.

E_tot in eV per atom: -4.939
Raw formation energy in eV/f.u.: -2.8
Fermi-level density of states in states/eV per cell: 21.1
Space-group type: Cmcm (63)

a b c (Å): 6.832 6.832 13.547
angles (deg): 90.00 90.00 146.24
Element x y z (fractional)
Np 0.115 0.885 0.750
Np 0.885 0.115 0.250
Cu 0.159 0.841 0.250
Cu 0.841 0.159 0.750
Ag 0.373 0.627 0.565
Ag 0.373 0.627 0.935
Ag 0.627 0.373 0.065
Ag 0.627 0.373 0.435
Se 0.000 0.000 0.000
Se 0.000 0.000 0.500
Se 0.293 0.707 0.121
Se 0.293 0.707 0.379
Se 0.452 0.548 0.750
Se 0.548 0.452 0.250
Se 0.707 0.293 0.621
Se 0.707 0.293 0.879

# 5
Computed, not measured: a relaxed Np2CuAg3Se6 crystal at the PBE-GGA level of DFT.

E_tot in eV per atom: -5.479
Raw formation energy in eV/f.u.: -6.3
Fermi-level density of states in states/eV per cell: 15.5
Space-group type: C2/m (12)

a b c (Å): 7.131 7.131 6.712
angles (deg): 94.92 94.92 121.30
Element x y z (fractional)
Np 0.163 0.837 0.000
Np 0.837 0.163 0.000
Cu 0.500 0.500 0.000
Ag 0.000 0.000 0.500
Ag 0.244 0.756 0.500
Ag 0.756 0.244 0.500
Se 0.146 0.466 0.772
Se 0.222 0.222 0.222
Se 0.466 0.146 0.772
Se 0.534 0.854 0.228
Se 0.778 0.778 0.778
Se 0.854 0.534 0.228

# 6
Computed, not measured: a relaxed NpCuAgSn crystal at the PBE-GGA level of DFT.

E_tot in eV per atom: -5.847
Fermi-level density of states in states/eV per cell: 8.1
Space-group type: F-43m (216)
Energy of formation from the pure elements in eV/atom: 0.13

a b c (Å): 4.893 4.893 4.893
angles (deg): 60.00 60.00 60.00
Element x y z (fractional)
Np 0.000 0.000 0.000
Cu 0.750 0.750 0.750
Ag 0.250 0.250 0.250
Sn 0.500 0.500 0.500

# 7
Computed, not measured: a relaxed Cu2AgO4 crystal at the PBE-GGA level of DFT.

E above lowest polymorph in meV per atom: 52
E_tot in eV per atom: -4.692
Raw formation energy in eV/f.u.: -2.0
Fermi-level density of states in states/eV per cell: 12.9
Space-group type: I4_1/amd (141)

a b c (Å): 6.885 6.885 6.885
angles (deg): 132.26 132.26 69.81
Element x y z (fractional)
Cu 0.000 0.000 0.000
Cu 0.000 0.000 0.500
Cu 0.000 0.500 0.000
Cu 0.500 0.000 0.500
Ag 0.375 0.625 0.750
Ag 0.625 0.375 0.250
O 0.205 0.237 0.969
O 0.232 0.763 0.469
O 0.237 0.205 0.469
O 0.237 0.768 0.031
O 0.763 0.232 0.969
O 0.763 0.795 0.531
O 0.768 0.237 0.531
O 0.795 0.763 0.031

# 8
Computed, not measured: a relaxed CuAgO crystal at the PBE-GGA level of DFT.

E_tot in eV per atom: -4.102
Raw formation energy in eV/f.u.: -0.4
Fermi-level density of states in states/eV per cell: 2.6
Space-group type: P1 (1)

a b c (Å): 2.817 5.402 5.821
angles (deg): 89.83 89.89 89.99
Element x y z (fractional)
Cu 0.000 0.000 0.000
Cu 0.000 0.500 0.000
Ag 0.000 0.001 0.500
Ag 0.500 0.501 0.499
O 0.500 0.250 0.000
O 0.500 0.750 0.000

- The lowest E_tot belongs to which entry?
  Np3CuAg4S8

- The highest E_tot belongs to which entry?
  CuAgO